DFT (PBE) results for a relaxed PuSnPd2 crystal.

```
PuSnPd2
1.0
3.966 0.000 0.000
0.000 4.410 0.000
0.000 0.000 16.968
Pu Sn Pd
4 4 8
Direct
0.000 0.250 0.211
0.000 0.750 0.789
0.500 0.250 0.289
0.500 0.750 0.711
0.000 0.250 0.657
0.000 0.750 0.343
0.500 0.250 0.843
0.500 0.750 0.157
0.000 0.250 0.442
0.000 0.250 0.943
0.000 0.750 0.057
0.000 0.750 0.558
0.500 0.250 0.058
0.500 0.250 0.557
0.500 0.750 0.443
0.500 0.750 0.942
```

Symmetry: Imma (74)
Calculated volume (Å³ per atom): 18.55
ΔH_f (0 K) (eV per atom): -0.225